Record 1
VASP calculation (PBE) on a relaxed structure of CePuFeNi.

Output
* calculated total energy: -34.5 eV/cell
* calculated volume: 18.90 A^3/atom
* space-group type: F-43m (216)

Unit cell a=4.746 b=4.746 c=4.746 alpha=60.00 beta=60.00 gamma=60.00
Sites, in units of the cell vectors:
Ce 0.000 0.000 0.000
Pu 0.500 0.500 0.500
Fe 0.750 0.750 0.750
Ni 0.250 0.250 0.250

***

Record 2
VASP calculation (PBE) on a relaxed structure of CeScFeNi.

Output
* calculated total energy: -27.1 eV/cell
* calculated volume: 17.47 A^3/atom
* space-group type: F-43m (216)

Unit cell a=4.623 b=4.623 c=4.623 alpha=60.00 beta=60.00 gamma=60.00
Sites, in units of the cell vectors:
Ce 0.000 0.000 0.000
Sc 0.500 0.500 0.500
Fe 0.250 0.250 0.250
Ni 0.750 0.750 0.750

***

Record 3
VASP calculation (PBE) on a relaxed structure of CeFeSi2Ni.

Output
* calculated volume: 15.42 A^3/atom
* energy relative to the elements, uncorrected: -3.53 eV/f.u.
* space-group type: I-4m2 (119)

Unit cell a=5.620 b=5.620 c=5.620 alpha=138.51 beta=138.51 gamma=60.12
Sites, in units of the cell vectors:
Ce 0.000 0.000 0.000
Fe 0.250 0.750 0.500
Si 0.371 0.371 0.000
Si 0.629 0.629 0.000
Ni 0.750 0.250 0.500

***

Record 4
VASP calculation (PBE) on a relaxed structure of CeTmFeNi.

Output
* calculated total energy: -25.1 eV/cell
* calculated volume: 18.73 A^3/atom
* space-group type: F-43m (216)

Unit cell a=4.732 b=4.732 c=4.732 alpha=60.00 beta=60.00 gamma=60.00
Sites, in units of the cell vectors:
Ce 0.000 0.000 0.000
Tm 0.500 0.500 0.500
Fe 0.250 0.250 0.250
Ni 0.750 0.750 0.750

***

Record 5
VASP calculation (PBE) on a relaxed structure of CeYFeNi.

Output
* calculated total energy: -26.9 eV/cell
* calculated volume: 19.35 A^3/atom
* space-group type: F-43m (216)

Unit cell a=4.783 b=4.783 c=4.783 alpha=60.00 beta=60.00 gamma=60.00
Sites, in units of the cell vectors:
Ce 0.000 0.000 0.000
Y 0.500 0.500 0.500
Fe 0.750 0.750 0.750
Ni 0.250 0.250 0.250

***

Record 6
VASP calculation (PBE) on a relaxed structure of CeZrFeNi.

Output
* calculated total energy: -29.0 eV/cell
* calculated volume: 17.90 A^3/atom
* space-group type: F-43m (216)

Unit cell a=4.661 b=4.661 c=4.661 alpha=60.00 beta=60.00 gamma=60.00
Sites, in units of the cell vectors:
Ce 0.000 0.000 0.000
Zr 0.500 0.500 0.500
Fe 0.250 0.250 0.250
Ni 0.750 0.750 0.750

***

Record 7
VASP calculation (PBE) on a relaxed structure of CeNpFe4.

Output
* calculated total energy: -53.0 eV/cell
* calculated volume: 15.10 A^3/atom
* space-group type: F-43m (216)

Unit cell a=5.041 b=5.041 c=5.041 alpha=60.00 beta=60.00 gamma=60.00
Sites, in units of the cell vectors:
Ce 0.000 0.000 0.000
Np 0.250 0.250 0.250
Fe 0.126 0.625 0.625
Fe 0.625 0.126 0.625
Fe 0.625 0.625 0.126
Fe 0.625 0.625 0.625

***

Number 1: N(E_F) 11.17 states/eV per cell. Number 2: N(E_F) 4.16 states/eV per cell. Number 3: N(E_F) 5.41 states/eV per cell. Number 4: N(E_F) 4.35 states/eV per cell. Number 5: N(E_F) 4.72 states/eV per cell. Number 6: N(E_F) 6.15 states/eV per cell. Number 7: N(E_F) 12.11 states/eV per cell.